1.
CeAlGa4: optimized geometry, PBE.

Results
* excess energy over the best structure of this formula in the dataset: 152 meV/atom
* size of the total moment: 1.186 μB per formula unit
* DFT total energy: -3.791 eV per atom
* theoretical density: 6.205 Mg/m³

Lattice parameters (Å, degrees): 7.815 7.815 7.815 90.00 90.00 90.00
Space group F-43m (No. 216)
Inequivalent atoms, fractional coordinates:
1 Ce 0.000 0.000 0.000
2 Al 0.250 0.250 0.750
3 Ga 0.125 0.125 0.375

2.
TlFeW: optimized geometry, PBE.

Results
* excess energy over the best structure of this formula in the dataset: 0 meV/atom
* size of the total moment: 0.907 μB per formula unit
* DFT total energy: -7.312 eV per atom
* theoretical density: 14.564 Mg/m³

Lattice parameters (Å, degrees): 3.000 3.000 11.253 90.00 90.00 90.00
Space group I4mm (No. 107)
Inequivalent atoms, fractional coordinates:
1 Tl 0.000 0.000 0.000
2 Fe 0.000 0.000 0.318
3 W 0.000 0.000 0.704

3.
BaAgW: optimized geometry, PBE.

Results
* excess energy over the best structure of this formula in the dataset: 1001 meV/atom
* size of the total moment: 4.845 μB per formula unit
* DFT total energy: -3.889 eV per atom
* theoretical density: 6.113 Mg/m³

Lattice parameters (Å, degrees): 7.754 7.754 7.754 90.00 90.00 90.00
Space group F-43m (No. 216)
Inequivalent atoms, fractional coordinates:
1 Ba 0.000 0.000 0.000
2 Ag 0.250 0.250 0.250
3 W 0.250 0.250 0.750

4.
LaEr: optimized geometry, PBE.

Results
* excess energy over the best structure of this formula in the dataset: 0 meV/atom
* size of the total moment: 0.000 μB per formula unit
* DFT total energy: -4.725 eV per atom
* theoretical density: 7.611 Mg/m³

Lattice parameters (Å, degrees): 10.224 10.224 10.224 90.00 90.00 90.00
Space group Fd-3m (No. 227, origin choice 2)
Inequivalent atoms, fractional coordinates:
1 La 0.000 0.000 0.000
2 Er 0.000 0.000 0.500

5.
Sr2Zn3Ga4: optimized geometry, PBE.

Results
* size of the total moment: 0.000 μB per formula unit
* DFT total energy: -2.422 eV per atom
* theoretical density: 5.591 Mg/m³

Lattice parameters (Å, degrees): 5.828 16.240 8.163 90.00 90.00 90.00
Space group Cmce (No. 64)
Inequivalent atoms, fractional coordinates:
1 Sr 0.000 0.109 0.100
2 Zn 0.000 0.000 0.500
3 Zn 0.250 0.224 0.750
4 Ga 0.000 0.180 0.495
5 Ga 0.250 0.063 0.750

6.
K2NaF: optimized geometry, PBE.

Results
* excess energy over the best structure of this formula in the dataset: 0 meV/atom
* size of the total moment: 0.000 μB per formula unit
* DFT total energy: -2.636 eV per atom
* theoretical density: 1.432 Mg/m³

Lattice parameters (Å, degrees): 3.9873 3.9873 30.3737 90.00 90.00 120.00
Space group R3m (No. 160, hexagonal axes)
Inequivalent atoms, fractional coordinates:
1 K 0.0000 0.0000 0.0000
2 K 0.0000 0.0000 0.2312
3 Na 0.0000 0.0000 0.4490
4 F 0.0000 0.0000 0.6154

7.
Zr2Ni2Pb: optimized geometry, PBE.

Results
* size of the total moment: 0.000 μB per formula unit
* DFT total energy: -6.634 eV per atom
* theoretical density: 8.679 Mg/m³

Lattice parameters (Å, degrees): 3.404 3.404 16.746 90.00 90.00 90.00
Space group I4/mmm (No. 139)
Inequivalent atoms, fractional coordinates:
1 Zr 0.000 0.000 0.130
2 Ni 0.000 0.500 0.250
3 Pb 0.000 0.000 0.500

8.
La6Si2AsI3: optimized geometry, PBE.

Results
* size of the total moment: 0.000 μB per formula unit
* DFT total energy: -5.301 eV per atom
* theoretical density: 5.639 Mg/m³

Lattice parameters (Å, degrees): 7.646 13.243 8.229 90.00 108.03 90.00
Space group C2/m (No. 12)
Inequivalent atoms, fractional coordinates:
1 La 0.230 0.000 0.200
2 La 0.235 0.332 0.200
3 Si 0.000 0.167 0.000
4 As 0.000 0.500 0.000
5 I 0.000 0.000 0.500
6 I 0.000 0.334 0.500